Entry one
Compound: Ba2AgH
Source: the Alexandria database
Functional: PBE-GGA
Structure: optimized geometry

Geometry as CIF:
```
data_Ba2AgH
_cell_length_a 4.9517
_cell_length_b 4.9517
_cell_length_c 25.8774
_cell_angle_alpha 90.00
_cell_angle_beta 90.00
_cell_angle_gamma 120.00
_symmetry_space_group_name_H-M 'P 32 2 1'
_symmetry_Int_Tables_number 154
_symmetry_space_group_name_Hall 'P 32 2"'
loop_
_atom_site_label
_atom_site_type_symbol
_atom_site_fract_x
_atom_site_fract_y
_atom_site_fract_z
Ba1 Ba 0.0043 0.3377 0.4289
Ag1 Ag 0.0000 0.3289 0.8333
H1 H 0.0000 0.3356 0.3333
```

Entry two
Compound: Ba2AgH
Source: the Alexandria database
Functional: PBE-GGA
Structure: optimized geometry

Geometry as CIF:
```
data_Ba2AgH
_cell_length_a 7.8937
_cell_length_b 7.8937
_cell_length_c 8.5766
_cell_angle_alpha 90.00
_cell_angle_beta 90.00
_cell_angle_gamma 90.00
_symmetry_space_group_name_H-M 'I -4 2 d'
_symmetry_Int_Tables_number 122
_symmetry_space_group_name_Hall 'I -4 2bw'
loop_
_atom_site_label
_atom_site_type_symbol
_atom_site_fract_x
_atom_site_fract_y
_atom_site_fract_z
Ba1 Ba 0.1695 0.2500 0.1250
Ag1 Ag 0.0000 0.0000 0.5000
H1 H 0.0000 0.0000 0.0000
```

Entry three
Compound: Ba2AgH
Source: the Alexandria database
Functional: PBE-GGA
Structure: optimized geometry

Geometry as CIF:
```
data_Ba2AgH
_cell_length_a 7.9599
_cell_length_b 7.9599
_cell_length_c 7.9599
_cell_angle_alpha 90.00
_cell_angle_beta 90.00
_cell_angle_gamma 90.00
_symmetry_space_group_name_H-M 'F m -3 m'
_symmetry_Int_Tables_number 225
_symmetry_space_group_name_Hall '-F 4 2 3'
loop_
_atom_site_label
_atom_site_type_symbol
_atom_site_fract_x
_atom_site_fract_y
_atom_site_fract_z
Ba1 Ba 0.2500 0.2500 0.2500
Ag1 Ag 0.0000 0.0000 0.0000
H1 H 0.0000 0.0000 0.5000
```

So which one is most stable? That would be entry two, about 7.4 kJ/mol of atoms below the next structure.

Entry one
Compound: Ba2AgH
Source: the Alexandria database
Functional: PBE-GGA
Structure: optimized geometry

Geometry as CIF:
```
data_Ba2AgH
_cell_length_a 4.4045
_cell_length_b 4.4045
_cell_length_c 23.5363
_cell_angle_alpha 90.00
_cell_angle_beta 90.00
_cell_angle_gamma 120.00
_symmetry_space_group_name_H-M 'R 3 m'
_symmetry_Int_Tables_number 160
_symmetry_space_group_name_Hall 'R 3 -2"'
loop_
_atom_site_label
_atom_site_type_symbol
_atom_site_fract_x
_atom_site_fract_y
_atom_site_fract_z
Ba1 Ba 0.0000 0.0000 0.0000
Ba2 Ba 0.0000 0.0000 0.1928
Ag1 Ag 0.0000 0.0000 0.4294
H1 H 0.0000 0.0000 0.5998
```

Entry two
Compound: Ba2AgH
Source: the Alexandria database
Functional: PBE-GGA
Structure: optimized geometry

Geometry as CIF:
```
data_Ba2AgH
_cell_length_a 4.5379
_cell_length_b 4.5379
_cell_length_c 22.3953
_cell_angle_alpha 90.00
_cell_angle_beta 90.00
_cell_angle_gamma 120.00
_symmetry_space_group_name_H-M 'R -3 m'
_symmetry_Int_Tables_number 166
_symmetry_space_group_name_Hall '-R 3 2"'
loop_
_atom_site_label
_atom_site_type_symbol
_atom_site_fract_x
_atom_site_fract_y
_atom_site_fract_z
Ba1 Ba 0.0000 0.0000 0.2403
Ag1 Ag 0.0000 0.0000 0.0000
H1 H 0.0000 0.0000 0.5000
```

Entry three
Compound: Ba2AgH
Source: the Alexandria database
Functional: PBE-GGA
Structure: optimized geometry

Geometry as CIF:
```
data_Ba2AgH
_cell_length_a 6.0602
_cell_length_b 14.6287
_cell_length_c 6.0073
_cell_angle_alpha 90.00
_cell_angle_beta 90.00
_cell_angle_gamma 90.00
_symmetry_space_group_name_H-M 'C c c m'
_symmetry_Int_Tables_number 66
_symmetry_space_group_name_Hall '-C 2 2c'
loop_
_atom_site_label
_atom_site_type_symbol
_atom_site_fract_x
_atom_site_fract_y
_atom_site_fract_z
Ba1 Ba 0.2323 0.1101 0.0000
Ag1 Ag 0.2500 0.2500 0.5000
H1 H 0.0000 0.0000 0.2500
```

So which one is most stable? That would be entry three, about 8.5 kJ/mol of atoms below the next structure.

Entry one
Compound: Ba3AgH
Source: the Alexandria database
Functional: PBE-GGA
Structure: optimized geometry

Geometry as CIF:
```
data_Ba3AgH
_cell_length_a 4.6338
_cell_length_b 14.9782
_cell_length_c 11.3661
_cell_angle_alpha 90.00
_cell_angle_beta 90.00
_cell_angle_gamma 90.00
_symmetry_space_group_name_H-M 'C m c m'
_symmetry_Int_Tables_number 63
_symmetry_space_group_name_Hall '-C 2c 2'
loop_
_atom_site_label
_atom_site_type_symbol
_atom_site_fract_x
_atom_site_fract_y
_atom_site_fract_z
Ba1 Ba 0.0000 0.0625 0.2500
Ba2 Ba 0.0000 0.3571 0.0727
Ag1 Ag 0.0000 0.2550 0.7500
H1 H 0.0000 0.4733 0.2500
```

Entry two
Compound: Ba3AgH
Source: the Alexandria database
Functional: PBE-GGA
Structure: optimized geometry

Geometry as CIF:
```
data_Ba3AgH
_cell_length_a 9.0045
_cell_length_b 4.4368
_cell_length_c 9.6842
_cell_angle_alpha 90.00
_cell_angle_beta 102.04
_cell_angle_gamma 90.00
_symmetry_space_group_name_H-M 'P 1 21/m 1'
_symmetry_Int_Tables_number 11
_symmetry_space_group_name_Hall '-P 2yb'
loop_
_atom_site_label
_atom_site_type_symbol
_atom_site_fract_x
_atom_site_fract_y
_atom_site_fract_z
Ba1 Ba 0.0627 0.2500 0.3359
Ba2 Ba 0.2663 0.2500 0.9752
Ba3 Ba 0.3827 0.7500 0.6359
Ag1 Ag 0.3262 0.7500 0.2568
H1 H 0.1652 0.2500 0.6547
```

Entry three
Compound: Ba3AgH
Source: the Alexandria database
Functional: PBE-GGA
Structure: optimized geometry

Geometry as CIF:
```
data_Ba3AgH
_cell_length_a 5.6692
_cell_length_b 5.6692
_cell_length_c 5.6692
_cell_angle_alpha 90.00
_cell_angle_beta 90.00
_cell_angle_gamma 90.00
_symmetry_space_group_name_H-M 'P m -3 m'
_symmetry_Int_Tables_number 221
_symmetry_space_group_name_Hall '-P 4 2 3'
loop_
_atom_site_label
_atom_site_type_symbol
_atom_site_fract_x
_atom_site_fract_y
_atom_site_fract_z
Ba1 Ba 0.0000 0.0000 0.5000
Ag1 Ag 0.5000 0.5000 0.5000
H1 H 0.0000 0.0000 0.0000
```

So which one is most stable? That would be entry one, about 5.3 kJ/mol of atoms below the next structure.

Entry one
Compound: Ba2AgH2
Source: the Alexandria database
Functional: PBE-GGA
Structure: optimized geometry

Geometry as CIF:
```
data_Ba2AgH2
_cell_length_a 4.2967
_cell_length_b 4.2967
_cell_length_c 14.5147
_cell_angle_alpha 90.00
_cell_angle_beta 90.00
_cell_angle_gamma 90.00
_symmetry_space_group_name_H-M 'I 4/m m m'
_symmetry_Int_Tables_number 139
_symmetry_space_group_name_Hall '-I 4 2'
loop_
_atom_site_label
_atom_site_type_symbol
_atom_site_fract_x
_atom_site_fract_y
_atom_site_fract_z
Ba1 Ba 0.0000 0.0000 0.1463
Ag1 Ag 0.0000 0.0000 0.5000
H1 H 0.0000 0.5000 0.2500
```

Entry two
Compound: Ba2AgH2
Source: the Alexandria database
Functional: PBE-GGA
Structure: optimized geometry

Geometry as CIF:
```
data_Ba2AgH2
_cell_length_a 7.9473
_cell_length_b 7.9473
_cell_length_c 3.6834
_cell_angle_alpha 90.00
_cell_angle_beta 90.00
_cell_angle_gamma 90.00
_symmetry_space_group_name_H-M 'P 4/m b m'
_symmetry_Int_Tables_number 127
_symmetry_space_group_name_Hall '-P 4 2ab'
loop_
_atom_site_label
_atom_site_type_symbol
_atom_site_fract_x
_atom_site_fract_y
_atom_site_fract_z
Ba1 Ba 0.1757 0.3243 0.0000
Ag1 Ag 0.0000 0.0000 0.5000
H1 H 0.1217 0.6217 0.5000
```

So which one is most stable? That would be entry one, about 15.4 kJ/mol of atoms below the next structure.

Entry one
Compound: BaAgH3
Source: the Alexandria database
Functional: PBE-GGA
Structure: optimized geometry

Geometry as CIF:
```
data_BaAgH3
_cell_length_a 4.1133
_cell_length_b 4.1133
_cell_length_c 4.1133
_cell_angle_alpha 90.00
_cell_angle_beta 90.00
_cell_angle_gamma 90.00
_symmetry_space_group_name_H-M 'P m -3 m'
_symmetry_Int_Tables_number 221
_symmetry_space_group_name_Hall '-P 4 2 3'
loop_
_atom_site_label
_atom_site_type_symbol
_atom_site_fract_x
_atom_site_fract_y
_atom_site_fract_z
Ba1 Ba 0.0000 0.0000 0.0000
Ag1 Ag 0.5000 0.5000 0.5000
H1 H 0.0000 0.5000 0.5000
```

Entry two
Compound: BaAgH3
Source: the Alexandria database
Functional: PBE-GGA
Structure: optimized geometry

Geometry as CIF:
```
data_BaAgH3
_cell_length_a 4.8392
_cell_length_b 4.8392
_cell_length_c 4.8392
_cell_angle_alpha 90.00
_cell_angle_beta 90.00
_cell_angle_gamma 90.00
_symmetry_space_group_name_H-M 'P m -3 m'
_symmetry_Int_Tables_number 221
_symmetry_space_group_name_Hall '-P 4 2 3'
loop_
_atom_site_label
_atom_site_type_symbol
_atom_site_fract_x
_atom_site_fract_y
_atom_site_fract_z
Ba1 Ba 0.0000 0.0000 0.0000
Ag1 Ag 0.5000 0.5000 0.5000
H1 H 0.0000 0.0000 0.5000
```

So which one is most stable? That would be entry one, about 74.1 kJ/mol of atoms below the next structure.

Entry one
Compound: Ba2AgHgH
Source: the Alexandria database
Functional: PBE-GGA
Structure: optimized geometry

Geometry as CIF:
```
data_Ba2AgHgH
_cell_length_a 5.6086
_cell_length_b 5.6086
_cell_length_c 4.5737
_cell_angle_alpha 90.00
_cell_angle_beta 90.00
_cell_angle_gamma 90.00
_symmetry_space_group_name_H-M 'P 4/m m m'
_symmetry_Int_Tables_number 123
_symmetry_space_group_name_Hall '-P 4 2'
loop_
_atom_site_label
_atom_site_type_symbol
_atom_site_fract_x
_atom_site_fract_y
_atom_site_fract_z
Ba1 Ba 0.0000 0.5000 0.0000
Ag1 Ag 0.0000 0.0000 0.5000
Hg1 Hg 0.5000 0.5000 0.5000
H1 H 0.5000 0.5000 0.0000
```

Entry two
Compound: Ba2AgHgH
Source: the Alexandria database
Functional: PBE-GGA
Structure: optimized geometry

Geometry as CIF:
```
data_Ba2AgHgH
_cell_length_a 5.8405
_cell_length_b 5.8405
_cell_length_c 4.1742
_cell_angle_alpha 90.00
_cell_angle_beta 90.00
_cell_angle_gamma 90.00
_symmetry_space_group_name_H-M 'P 4/m m m'
_symmetry_Int_Tables_number 123
_symmetry_space_group_name_Hall '-P 4 2'
loop_
_atom_site_label
_atom_site_type_symbol
_atom_site_fract_x
_atom_site_fract_y
_atom_site_fract_z
Ba1 Ba 0.0000 0.5000 0.0000
Ag1 Ag 0.0000 0.0000 0.5000
Hg1 Hg 0.5000 0.5000 0.5000
H1 H 0.0000 0.0000 0.0000
```

So which one is most stable? That would be entry two, about 6.5 kJ/mol of atoms below the next structure.